First-principles (PBE) data for a geometry-optimized NbIn2Rh2 structure, as listed in Alexandria.

Calculated values
* offset from the most stable computed form: 390 meV per atom
* energy relative to the elements: 207.0 meV per atom

Cell: 3.847 3.847 7.003 Å, 74.06 74.06 90.00°
Fractional positions:
1 Rh 0.597 0.597 0.807
2 Rh 0.403 0.403 0.193
3 In 0.750 0.250 0.500
4 In 0.250 0.750 0.500
5 Nb 0.000 0.000 0.000


First-principles (PBE) data for a geometry-optimized LiLaNp2O8 structure, as listed in Alexandria.

Calculated values
* raw formation energy: -2841 meV/atom

Cell: 5.086 5.100 7.000 Å, 90.00 90.00 86.06°
Site moments in Bohr magnetons follow the coordinates.
Fractional positions:
1 Li 0.000 0.000 0.000  0.00
2 O 0.219 0.779 0.237  -0.04
3 O 0.671 0.672 0.000  -0.06
4 O 0.781 0.221 0.763  -0.04
5 O 0.327 0.325 0.500  -0.04
6 O 0.219 0.779 0.763  -0.04
7 O 0.781 0.221 0.237  -0.04
8 O 0.673 0.675 0.500  -0.04
9 O 0.329 0.328 0.000  -0.06
10 La 0.000 0.000 0.500  -0.01
11 Np 0.500 0.500 0.758  1.19
12 Np 0.500 0.500 0.242  1.19


First-principles (PBE) data for a geometry-optimized ScCdMo2 structure, as listed in Alexandria.

Calculated values
* energy relative to the elements: 273.4 meV per atom

Cell: 2.772 2.772 9.438 Å, 90.00 90.00 90.00°
Fractional positions:
1 Sc 0.000 0.000 0.488
2 Mo 0.500 0.500 0.248
3 Mo 0.000 0.000 0.006
4 Cd 0.500 0.500 0.758


First-principles (PBE) data for a geometry-optimized Tb2PaNiN4 structure, as listed in Alexandria.

Calculated values
* raw formation energy: -1223 meV/atom

Cell: 3.368 5.828 11.583 Å, 90.00 90.00 106.79°
Site moments in Bohr magnetons follow the coordinates.
Fractional positions:
1 N 0.284 0.567 0.366  0.06
2 N 0.284 0.567 0.134  0.06
3 N 0.461 0.921 0.750  0.06
4 N 0.539 0.079 0.250  0.06
5 N 0.716 0.433 0.634  0.06
6 N 0.716 0.433 0.866  0.06
7 N 0.000 0.000 0.500  0.03
8 N 0.000 0.000 0.000  0.03
9 Ni 0.848 0.696 0.750  0.57
10 Ni 0.152 0.304 0.250  0.57
11 Pa 0.888 0.776 0.250  0.01
12 Pa 0.112 0.224 0.750  0.01
13 Tb 0.370 0.740 0.556  0.02
14 Tb 0.630 0.260 0.056  0.02
15 Tb 0.370 0.740 0.944  0.02
16 Tb 0.630 0.260 0.444  0.02


First-principles (PBE) data for a geometry-optimized MgReNi2 structure, as listed in Alexandria.

Calculated values
* energy relative to the elements: 276.8 meV per atom

Cell: 4.734 4.734 4.734 Å, 134.48 134.48 66.33°
Site moments in Bohr magnetons follow the coordinates.
Fractional positions:
1 Ni 0.250 0.750 0.500  0.39
2 Ni 0.000 0.000 0.000  0.45
3 Re 0.500 0.500 0.000  0.77
4 Mg 0.750 0.250 0.500  0.00